Record 1
SiAgBr2 | PBE | optimized geometry

Summary:
offset from the most stable computed form = 108 meV per atom

a = 8.1248 Å, b = 8.1248 Å, c = 4.1386 Å
α = 75.12°, β = 75.12°, γ = 26.57°
Sites, in units of the cell vectors:
Br 0.8871 0.8871 0.1115
Br 0.6129 0.6129 0.3885
Si 0.2500 0.2500 0.2500
Ag 0.7500 0.7500 0.7500

Record 2
TaNbNi14 | PBE | optimized geometry

Summary:
formation energy = -0.143 eV/atom

a = 5.1237 Å, b = 5.1237 Å, c = 7.1147 Å
α = 90.00°, β = 90.00°, γ = 90.00°
Each line ends with the local moment (μB).
Sites, in units of the cell vectors:
Ni 0.6246 0.6246 0.2424  0.21
Ni 0.3750 0.8750 0.5000  0.04
Ni 0.1254 0.6246 0.7576  0.21
Ni 0.6246 0.6246 0.7576  0.21
Ni 0.1254 0.1254 0.2424  0.21
Ni 0.8750 0.8750 0.0000  0.59
Ni 0.8750 0.3750 0.5000  0.04
Ni 0.6246 0.1254 0.2424  0.21
Ni 0.6246 0.1254 0.7576  0.21
Ni 0.3750 0.8750 0.0000  0.42
Ni 0.1254 0.6246 0.2424  0.21
Ni 0.1254 0.1254 0.7576  0.21
Ni 0.8750 0.3750 0.0000  0.42
Ni 0.3750 0.3750 0.0000  0.57
Nb 0.8750 0.8750 0.5000  -0.07
Ta 0.3750 0.3750 0.5000  -0.06

Table of Fermi-level density of states (states/eV per cell), in record order: 1.09, 27.66
Table of uncorrected energy (eV per atom), in record order: -2.89, -6.57
Table of total moment (μB/atom), in record order: 0.00, 0.21